(1)
DFT (PBE) results for a relaxed LiNbHg crystal.

Summary:
* energy: -49.263 eV/cell
* calculated density: 9.39 g/cm3
* SG: Cmmm, No. 65

a = 4.370 Å, b = 14.785 Å, c = 3.290 Å
α = 90.00°, β = 90.00°, γ = 90.00°
Fractional positions:
Li 0.000 0.175 0.000
Li 0.000 0.825 0.000
Li 0.500 0.325 0.000
Li 0.500 0.675 0.000
Nb 0.000 0.000 0.500
Nb 0.000 0.500 0.000
Nb 0.500 0.000 0.000
Nb 0.500 0.500 0.500
Hg 0.000 0.332 0.500
Hg 0.000 0.668 0.500
Hg 0.500 0.168 0.500
Hg 0.500 0.832 0.500



(2)
DFT (PBE) results for a relaxed TlHgTe2I crystal.

Summary:
* energy: -8.890 eV/cell
* calculated density: 5.75 g/cm3
* SG: P4/mmm, No. 123
* formation energy (no corrections): 0.322 eV/atom

a = 5.917 Å, b = 5.917 Å, c = 6.490 Å
α = 90.00°, β = 90.00°, γ = 90.00°
Fractional positions:
Tl 0.000 0.000 0.000
Hg 0.500 0.500 0.000
Te 0.000 0.500 0.500
Te 0.500 0.000 0.500
I 0.500 0.500 0.500



(3)
DFT (PBE) results for a relaxed YVAsSe2 crystal.

Summary:
* energy: -25.821 eV/cell
* calculated density: 3.95 g/cm3
* SG: P4/mmm, No. 123
* formation energy (no corrections): 0.276 eV/atom

a = 5.385 Å, b = 5.385 Å, c = 5.399 Å
α = 90.00°, β = 90.00°, γ = 90.00°
Fractional positions:
Y 0.000 0.000 0.000
V 0.500 0.500 0.500
As 0.000 0.000 0.500
Se 0.000 0.500 0.000
Se 0.500 0.000 0.000



(4)
DFT (PBE) results for a relaxed ReRu3 crystal.

Summary:
* energy: -152.724 eV/cell
* calculated density: 13.93 g/cm3
* SG: Fm-3m, No. 225

a = 6.156 Å, b = 6.156 Å, c = 6.156 Å
α = 90.00°, β = 90.00°, γ = 90.00°
Fractional positions:
Re 0.000 0.000 0.000
Re 0.000 0.500 0.500
Re 0.500 0.000 0.500
Re 0.500 0.500 0.000
Ru 0.000 0.000 0.500
Ru 0.000 0.500 0.000
Ru 0.250 0.250 0.250
Ru 0.250 0.250 0.750
Ru 0.250 0.750 0.250
Ru 0.250 0.750 0.750
Ru 0.500 0.000 0.000
Ru 0.500 0.500 0.500
Ru 0.750 0.250 0.250
Ru 0.750 0.250 0.750
Ru 0.750 0.750 0.250
Ru 0.750 0.750 0.750



(5)
DFT (PBE) results for a relaxed AsPtNF2 crystal.

Summary:
* energy: -21.351 eV/cell
* calculated density: 7.87 g/cm3
* SG: P4/mmm, No. 123
* formation energy (no corrections): 0.281 eV/atom

a = 3.956 Å, b = 3.956 Å, c = 4.343 Å
α = 90.00°, β = 90.00°, γ = 90.00°
Fractional positions:
As 0.000 0.000 0.000
Pt 0.500 0.500 0.500
N 0.000 0.000 0.500
F 0.000 0.500 0.000
F 0.500 0.000 0.000



(6)
DFT (PBE) results for a relaxed PmPu2Bi crystal.

Summary:
* energy: -38.321 eV/cell
* calculated density: 12.29 g/cm3
* SG: P4/mmm, No. 123

a = 4.679 Å, b = 4.679 Å, c = 5.196 Å
α = 90.00°, β = 90.00°, γ = 90.00°
Fractional positions:
Pm 0.000 0.000 0.000
Pu 0.000 0.500 0.500
Pu 0.500 0.000 0.500
Bi 0.500 0.500 0.000



Question: The highest energy belongs to which entry?
Answer: TlHgTe2I



Question: What is the calculated density in the third record?
Answer: 3.95 g/cm3



Question: The highest energy belongs to which entry?
Answer: TlHgTe2I



Question: Among the records above, which one has the lowest energy?
Answer: ReRu3